# Si2OsCl

A PBEsol-optimized structure of Si2OsCl (meta-GGA SCAN, Alexandria via LeMat-Bulk).

Cell lengths 3.0437, 3.0437, 7.1060 Å; angles 90.00, 90.00, 90.00 degrees
Last column: nearest neighbours and their distance in Å.
Space group P4mm (No. 99)
Unique sites:
Si  0.0000  0.0000  0.0000 x1  4 Os 2.43, 4 Si 2.58
Si  0.5000  0.5000  0.2002 x1  1 Os 2.55, 4 Si 2.58
Os  0.5000  0.5000  0.8409 x1  5 Si 2.43-2.55
Cl  0.0000  0.0000  0.5801 x1  4 Os 2.84, 1 Si 2.98, 4 Cl 3.04

Uncorrected energy ... -24.640 eV per atom
Energy relative to the elements, uncorrected ... 0.332 eV per atom
Energy above the lowest structure with this stoichiometry ... 175 meV per atom
DOS at the Fermi energy ... 2.29 states/eV per cell

***

# Li2CdSe2

A PBEsol-optimized structure of Li2CdSe2 (meta-GGA SCAN, Alexandria via LeMat-Bulk).

Cell lengths 7.2796, 7.2796, 3.3469 Å; angles 90.00, 90.00, 90.00 degrees
Last column: nearest neighbours and their distance in Å.
Space group P4/mbm (No. 127)
Unique sites:
Li  0.1233  0.3767  0.0000 x4  1 Li 2.54, 6 Se 2.59-2.83
Cd  0.0000  0.0000  0.0000 x2  4 Li 2.89, 8 Se 3.14
Se  0.1842  0.6842  0.5000 x4  6 Li 2.59-2.83

Uncorrected energy ... -15.743 eV per atom
Energy relative to the elements, uncorrected ... -0.673 eV per atom
DOS at the Fermi energy ... 2.60 states/eV per cell

***

# AgWBr2

A PBEsol-optimized structure of AgWBr2 (meta-GGA SCAN, Alexandria via LeMat-Bulk).

Cell lengths 3.0777, 5.3217, 9.8823 Å; angles 90.00, 90.00, 90.00 degrees
Last column: nearest neighbours and their distance in Å.
Space group Cmm2 (No. 35)
Unique sites:
Ag  0.0000  0.0000  0.0000 x2  2 Br 2.74, 2 W 2.76
W  0.0000  0.5000  0.2324 x2  2 Br 2.55, 2 Ag 2.76
Br  0.0000  0.0000  0.4386 x2  2 W 2.55
Br  0.0000  0.5000  0.7709 x2  2 Ag 2.74

Uncorrected energy ... -34.381 eV per atom
Energy relative to the elements, uncorrected ... 0.613 eV per atom
Energy above the lowest structure with this stoichiometry ... 0 meV per atom
DOS at the Fermi energy ... 3.62 states/eV per cell

***

# HgPbAu2

A PBEsol-optimized structure of HgPbAu2 (meta-GGA SCAN, Alexandria via LeMat-Bulk).

Cell lengths 9.0819, 3.6662, 5.4490 Å; angles 90.00, 105.81, 90.00 degrees
Last column: nearest neighbours and their distance in Å.
Space group Cm (No. 8)
Unique sites:
Hg  0.0000  0.0000  0.0000 x2  5 Au 2.86-2.98, 3 Pb 3.08-3.18
Pb  0.2302  0.0000  0.6753 x2  5 Au 2.94-3.15, 3 Hg 3.08-3.18
Au  0.2445  0.5000  0.2129 x2  3 Au 2.82-2.91, 3 Hg 2.86-2.87, 2 Pb 3.15
Au  0.4816  0.0000  0.4225 x2  3 Au 2.82-2.91, 3 Pb 2.94-2.97, 2 Hg 2.98

Uncorrected energy ... -70.541 eV per atom
Energy above the lowest structure with this stoichiometry ... 47 meV per atom
Formation energy ... 0.025 eV/atom
DOS at the Fermi energy ... 2.14 states/eV per cell

***

# ScFe2

A PBEsol-optimized structure of ScFe2 (meta-GGA SCAN, Alexandria via LeMat-Bulk).

Cell lengths 6.8320, 6.8320, 6.8320 Å; angles 90.00, 90.00, 90.00 degrees
Last column: nearest neighbours and their distance in Å.
Space group Fd-3m (No. 227, origin choice 2)
Unique sites:
Sc  0.1250  0.1250  0.1250 x8  12 Fe 2.83, 4 Sc 2.96
Fe  0.0000  0.0000  0.5000 x16  6 Fe 2.42

Uncorrected energy ... -17.025 eV per atom
Formation energy ... -0.193 eV/atom
DOS at the Fermi energy ... 17.07 states/eV per cell

***

# SbP3Pt

A PBEsol-optimized structure of SbP3Pt (meta-GGA SCAN, Alexandria via LeMat-Bulk).

Cell lengths 4.8420, 4.8420, 4.8420 Å; angles 90.00, 90.00, 90.00 degrees
Last column: nearest neighbours and their distance in Å.
Space group Pm-3m (No. 221)
Unique sites:
Sb  0.0000  0.0000  0.0000 x1  6 P 2.42
P  0.0000  0.0000  0.5000 x3  2 Sb 2.42
Pt  0.5000  0.5000  0.5000 x1  12 P 3.42

Uncorrected energy ... -25.908 eV per atom
Energy relative to the elements, uncorrected ... 1.822 eV per atom
DOS at the Fermi energy ... 4.67 states/eV per cell

***

# KCrMo

A PBEsol-optimized structure of KCrMo (meta-GGA SCAN, Alexandria via LeMat-Bulk).

Cell lengths 5.0010, 5.0010, 2.5159 Å; angles 90.00, 90.00, 120.00 degrees
Last column: nearest neighbours and their distance in Å.
Space group P3m1 (No. 156)
Unique sites:
K  0.0000  0.0000  0.0000 x1  2 K 2.52
Cr  0.6667  0.3333  0.6759 x1  2 Cr 2.52
Mo  0.3333  0.6667  0.3018 x1  2 Mo 2.52

Uncorrected energy ... -18.994 eV per atom
Energy above the lowest structure with this stoichiometry ... 577 meV per atom
Formation energy ... 1.539 eV/atom
DOS at the Fermi energy ... 2.86 states/eV per cell

***

# Cr2SiAg

A PBEsol-optimized structure of Cr2SiAg (meta-GGA SCAN, Alexandria via LeMat-Bulk).

Cell lengths 3.6601, 3.6601, 7.6878 Å; angles 90.00, 90.00, 90.00 degrees
Last column: nearest neighbours and their distance in Å.
Space group I4/mmm (No. 139)
Unique sites:
Cr  0.0000  0.5000  0.2500 x4  4 Cr 2.59, 4 Si 2.65, 4 Ag 2.65
Si  0.0000  0.0000  0.0000 x2  4 Ag 2.59, 8 Cr 2.65
Ag  0.0000  0.0000  0.5000 x2  4 Si 2.59, 8 Cr 2.65

Uncorrected energy ... -19.151 eV per atom
Energy relative to the elements, uncorrected ... 0.387 eV per atom
DOS at the Fermi energy ... 7.66 states/eV per cell

***

# Al2In

A PBEsol-optimized structure of Al2In (meta-GGA SCAN, Alexandria via LeMat-Bulk).

Cell lengths 3.0161, 3.9552, 9.8263 Å; angles 90.00, 90.00, 90.00 degrees
Last column: nearest neighbours and their distance in Å.
Space group Immm (No. 71)
Unique sites:
Al  0.0000  0.0000  0.1821 x4  6 Al 2.82-3.02, 5 In 3.06-3.12
In  0.0000  0.0000  0.5000 x2  2 In 3.02, 10 Al 3.06-3.12

Uncorrected energy ... -16.144 eV per atom
Formation energy ... 0.153 eV/atom
DOS at the Fermi energy ... 2.32 states/eV per cell

***

# Y3HgPb

A PBEsol-optimized structure of Y3HgPb (meta-GGA SCAN, Alexandria via LeMat-Bulk).

Cell lengths 5.6523, 5.6523, 5.6523 Å; angles 90.00, 90.00, 90.00 degrees
Last column: nearest neighbours and their distance in Å.
Space group Pm-3m (No. 221)
Unique sites:
Y  0.0000  0.0000  0.5000 x3  2 Pb 2.83
Hg  0.5000  0.5000  0.5000 x1  12 Y 4.00
Pb  0.0000  0.0000  0.0000 x1  6 Y 2.83

Uncorrected energy ... -45.372 eV per atom
Formation energy ... 0.123 eV/atom
DOS at the Fermi energy ... 6.03 states/eV per cell

***

# MnReAsSe2

A PBEsol-optimized structure of MnReAsSe2 (meta-GGA SCAN, Alexandria via LeMat-Bulk).

Cell lengths 4.5278, 4.5278, 4.4497 Å; angles 90.00, 90.00, 90.00 degrees
Last column: nearest neighbours and their distance in Å.
Space group P4/mmm (No. 123)
Unique sites:
Mn  0.0000  0.0000  0.0000 x1  2 As 2.22, 4 Se 2.26
Re  0.5000  0.5000  0.5000 x1  8 Se 3.17, 4 As 3.20
As  0.0000  0.0000  0.5000 x1  2 Mn 2.22
Se  0.0000  0.5000  0.0000 x2  2 Mn 2.26

Uncorrected energy ... -28.742 eV per atom
Energy relative to the elements, uncorrected ... 1.198 eV per atom
DOS at the Fermi energy ... 2.69 states/eV per cell

***

# KBaTi3

A PBEsol-optimized structure of KBaTi3 (meta-GGA SCAN, Alexandria via LeMat-Bulk).

Cell lengths 5.0502, 5.0502, 5.0502 Å; angles 90.00, 90.00, 90.00 degrees
Last column: nearest neighbours and their distance in Å.
Space group Pm-3m (No. 221)
Unique sites:
K  0.0000  0.0000  0.0000 x1  6 Ti 2.53
Ba  0.5000  0.5000  0.5000 x1  12 Ti 3.57
Ti  0.0000  0.0000  0.5000 x3  2 K 2.53

Uncorrected energy ... -17.296 eV per atom
Formation energy ... 1.898 eV/atom
DOS at the Fermi energy ... 4.87 states/eV per cell

***

Copy entry 4 word for word.
# HgPbAu2

A PBEsol-optimized structure of HgPbAu2 (meta-GGA SCAN, Alexandria via LeMat-Bulk).

Cell lengths 9.0819, 3.6662, 5.4490 Å; angles 90.00, 105.81, 90.00 degrees
Last column: nearest neighbours and their distance in Å.
Space group Cm (No. 8)
Unique sites:
Hg  0.0000  0.0000  0.0000 x2  5 Au 2.86-2.98, 3 Pb 3.08-3.18
Pb  0.2302  0.0000  0.6753 x2  5 Au 2.94-3.15, 3 Hg 3.08-3.18
Au  0.2445  0.5000  0.2129 x2  3 Au 2.82-2.91, 3 Hg 2.86-2.87, 2 Pb 3.15
Au  0.4816  0.0000  0.4225 x2  3 Au 2.82-2.91, 3 Pb 2.94-2.97, 2 Hg 2.98

Uncorrected energy ... -70.541 eV per atom
Energy above the lowest structure with this stoichiometry ... 47 meV per atom
Formation energy ... 0.025 eV/atom
DOS at the Fermi energy ... 2.14 states/eV per cell

***

Repeat the fourth record exactly.
# HgPbAu2

A PBEsol-optimized structure of HgPbAu2 (meta-GGA SCAN, Alexandria via LeMat-Bulk).

Cell lengths 9.0819, 3.6662, 5.4490 Å; angles 90.00, 105.81, 90.00 degrees
Last column: nearest neighbours and their distance in Å.
Space group Cm (No. 8)
Unique sites:
Hg  0.0000  0.0000  0.0000 x2  5 Au 2.86-2.98, 3 Pb 3.08-3.18
Pb  0.2302  0.0000  0.6753 x2  5 Au 2.94-3.15, 3 Hg 3.08-3.18
Au  0.2445  0.5000  0.2129 x2  3 Au 2.82-2.91, 3 Hg 2.86-2.87, 2 Pb 3.15
Au  0.4816  0.0000  0.4225 x2  3 Au 2.82-2.91, 3 Pb 2.94-2.97, 2 Hg 2.98

Uncorrected energy ... -70.541 eV per atom
Energy above the lowest structure with this stoichiometry ... 47 meV per atom
Formation energy ... 0.025 eV/atom
DOS at the Fermi energy ... 2.14 states/eV per cell